1.
Below is an optimized crystal structure of Sr3Li2Mg2, with properties calculated at the PBE-GGA level.

a b c (Å): 4.6368 25.1352 4.1895
angles (deg): 90.00 90.00 90.00
Space group Cmmm (No. 65)
Asymmetric unit:
Sr 0.0000 0.0000 0.0000 x2
Sr 0.0000 0.1587 0.0000 x4
Li 0.0000 0.2829 0.5000 x4
Mg 0.0000 0.4195 0.5000 x4

- DOS at the Fermi energy (states/eV/f.u.) = 6.13
- DFT formation energy (eV/atom) = 0.01
- V (A^3/atom) = 34.9

=====

2.
Below is an optimized crystal structure of SrLiMg10, with properties calculated at the PBE-GGA level.

a b c (Å): 5.1465 5.9375 10.5759
angles (deg): 90.00 90.00 90.00
Space group Pmmm (No. 47)
Asymmetric unit:
Sr 0.0000 0.0000 0.0000 x1
Li 0.0000 0.5000 0.5000 x1
Mg 0.0000 0.0000 0.3431 x2
Mg 0.0000 0.5000 0.1848 x2
Mg 0.5000 0.0000 0.5000 x1
Mg 0.5000 0.2467 0.2492 x4
Mg 0.5000 0.5000 0.0000 x1

- DOS at the Fermi energy (states/eV/f.u.) = 5.45
- DFT formation energy (eV/atom) = 0.04
- V (A^3/atom) = 26.9

=====

3.
Below is an optimized crystal structure of SrLi3Mg, with properties calculated at the PBE-GGA level.

a b c (Å): 6.5223 14.3030 5.9706
angles (deg): 90.00 90.00 90.00
Space group Cmcm (No. 63)
Asymmetric unit:
Sr 0.0000 0.0986 0.2500 x4
Li 0.0000 0.3127 0.7500 x4
Li 0.2222 0.3422 0.2500 x8
Mg 0.0000 0.5000 0.0000 x4

- DOS at the Fermi energy (states/eV/f.u.) = 3.19
- DFT formation energy (eV/atom) = 0.00
- V (A^3/atom) = 27.8

=====

4.
Below is an optimized crystal structure of SrLi8Mg2, with properties calculated at the PBE-GGA level.

a b c (Å): 5.3731 5.3731 10.8871
angles (deg): 90.00 90.00 90.00
Space group P4/mmm (No. 123)
Asymmetric unit:
Sr 0.0000 0.0000 0.0000 x1
Li 0.2496 0.2496 0.2814 x8
Mg 0.0000 0.5000 0.5000 x2

- DOS at the Fermi energy (states/eV/f.u.) = 7.08
- DFT formation energy (eV/atom) = 0.23
- V (A^3/atom) = 28.6

=====

5.
Below is an optimized crystal structure of Sr2Li17Mg3, with properties calculated at the PBE-GGA level.

a b c (Å): 12.0515 11.2417 8.2423
angles (deg): 90.00 95.71 90.00
Space group C2/m (No. 12)
Asymmetric unit:
Sr 0.1757 0.0000 0.3250 x4
Li 0.0000 0.2488 0.0000 x4
Li 0.0000 0.5000 0.5000 x2
Li 0.0552 0.2269 0.6716 x8
Li 0.0935 0.5000 0.9068 x4
Li 0.1255 0.3746 0.2509 x8
Li 0.1715 0.0000 0.7821 x4
Li 0.2500 0.2500 0.0000 x4
Mg 0.0000 0.0000 0.0000 x2
Mg 0.2500 0.2500 0.5000 x4

- DOS at the Fermi energy (states/eV/f.u.) = 12.01
- DFT formation energy (eV/atom) = 0.10
- V (A^3/atom) = 25.3

=====

6.
Below is an optimized crystal structure of Sr4Li3Mg, with properties calculated at the PBE-GGA level.

a b c (Å): 4.4058 5.3519 13.1781
angles (deg): 90.00 90.00 90.00
Space group Pmm2 (No. 25)
Asymmetric unit:
Sr 0.0000 0.0000 0.0000 x1
Sr 0.0000 0.5000 0.2975 x1
Sr 0.5000 0.0000 0.5011 x1
Sr 0.5000 0.5000 0.7991 x1
Li 0.0000 0.5000 0.5854 x1
Li 0.5000 0.0000 0.2158 x1
Li 0.5000 0.5000 0.0837 x1
Mg 0.0000 0.0000 0.7167 x1

- DOS at the Fermi energy (states/eV/f.u.) = 6.72
- DFT formation energy (eV/atom) = 0.01
- V (A^3/atom) = 38.8

=====

7.
Below is an optimized crystal structure of Sr2LiMg, with properties calculated at the PBE-GGA level.

a b c (Å): 13.0698 3.9077 6.1776
angles (deg): 90.00 110.20 90.00
Space group Cm (No. 8)
Asymmetric unit:
Sr 0.0000 0.0000 0.0000 x2
Sr 0.2064 0.0000 0.6489 x2
Li 0.2625 0.5000 0.1965 x2
Mg 0.4494 0.0000 0.4599 x2

- DOS at the Fermi energy (states/eV/f.u.) = 3.72
- DFT formation energy (eV/atom) = 0.01
- V (A^3/atom) = 37.0

=====

8.
Below is an optimized crystal structure of Sr4Li2Mg3, with properties calculated at the PBE-GGA level.

a b c (Å): 18.6262 4.4464 8.3210
angles (deg): 90.00 108.50 90.00
Space group C2/m (No. 12)
Asymmetric unit:
Sr 0.0730 0.0000 0.3702 x4
Sr 0.2363 0.5000 0.2163 x4
Li 0.0988 0.0000 0.9560 x4
Mg 0.0000 0.5000 0.0000 x2
Mg 0.0960 0.5000 0.7242 x4

- DOS at the Fermi energy (states/eV/f.u.) = 8.38
- DFT formation energy (eV/atom) = -0.01
- V (A^3/atom) = 36.3

=====

9.
Below is an optimized crystal structure of SrLi9Mg2, with properties calculated at the PBE-GGA level.

a b c (Å): 10.1235 10.1235 3.2505
angles (deg): 90.00 90.00 120.00
Space group P6/mmm (No. 191)
Asymmetric unit:
Sr 0.0000 0.0000 0.0000 x1
Li 0.0000 0.5000 0.0000 x3
Li 0.1848 0.3695 0.5000 x6
Mg 0.3333 0.6667 0.0000 x2

- DOS at the Fermi energy (states/eV/f.u.) = 5.82
- DFT formation energy (eV/atom) = 0.06
- V (A^3/atom) = 24.0

=====

10.
Below is an optimized crystal structure of Sr2LiMg, with properties calculated at the PBE-GGA level.

a b c (Å): 8.2807 8.2807 8.2807
angles (deg): 90.00 90.00 90.00
Space group F-43m (No. 216)
Asymmetric unit:
Sr 0.0000 0.0000 0.0000 x4
Sr 0.2500 0.2500 0.2500 x4
Li 0.2500 0.2500 0.7500 x4
Mg 0.0000 0.0000 0.5000 x4

- DOS at the Fermi energy (states/eV/f.u.) = 4.92
- DFT formation energy (eV/atom) = 0.11
- V (A^3/atom) = 35.5

=====

11.
Below is an optimized crystal structure of Sr2LiMg16, with properties calculated at the PBE-GGA level.

a b c (Å): 10.5231 10.5231 15.3902
angles (deg): 90.00 90.00 120.00
Space group R3m (No. 160, hexagonal axes)
Asymmetric unit:
Sr 0.0000 0.0000 0.0000 x3
Sr 0.0000 0.0000 0.3248 x3
Li 0.0000 0.0000 0.5653 x3
Mg 0.0000 0.0000 0.7594 x3
Mg 0.0000 0.2963 0.6627 x18
Mg 0.0003 0.5001 0.5103 x9
Mg 0.0014 0.5007 0.1629 x9
Mg 0.0016 0.5008 0.8150 x9

- DOS at the Fermi energy (states/eV/f.u.) = 8.25
- DFT formation energy (eV/atom) = -0.05
- V (A^3/atom) = 25.9

=====

12.
Below is an optimized crystal structure of SrLi3Mg, with properties calculated at the PBE-GGA level.

a b c (Å): 5.3234 5.3234 5.3234
angles (deg): 90.00 90.00 90.00
Space group Pm-3m (No. 221)
Asymmetric unit:
Sr 0.0000 0.0000 0.0000 x1
Li 0.0000 0.5000 0.5000 x3
Mg 0.5000 0.5000 0.5000 x1

- DOS at the Fermi energy (states/eV/f.u.) = 3.97
- DFT formation energy (eV/atom) = 0.18
- V (A^3/atom) = 30.2

=====

13.
Below is an optimized crystal structure of SrLi2Mg, with properties calculated at the PBE-GGA level.

a b c (Å): 11.4018 4.3956 5.3024
angles (deg): 90.00 117.58 90.00
Space group Cm (No. 8)
Asymmetric unit:
Sr 0.0000 0.0000 0.0000 x2
Li 0.0141 0.5000 0.5135 x2
Li 0.2313 0.0000 0.7310 x2
Mg 0.2710 0.5000 0.2726 x2

- DOS at the Fermi energy (states/eV/f.u.) = 2.41
- DFT formation energy (eV/atom) = 0.05
- V (A^3/atom) = 29.4

=====

14.
Below is an optimized crystal structure of Sr5Li2Mg, with properties calculated at the PBE-GGA level.

a b c (Å): 7.6535 14.6071 6.0425
angles (deg): 90.00 90.00 90.00
Space group Pbam (No. 55)
Asymmetric unit:
Sr 0.0000 0.0000 0.0000 x2
Sr 0.1464 0.2741 0.0000 x4
Sr 0.1620 0.6102 0.5000 x4
Li 0.1492 0.8693 0.5000 x4
Mg 0.0000 0.5000 0.0000 x2

- DOS at the Fermi energy (states/eV/f.u.) = 8.93
- DFT formation energy (eV/atom) = 0.03
- V (A^3/atom) = 42.2

=====

15.
Below is an optimized crystal structure of Sr3Li2Mg3, with properties calculated at the PBE-GGA level.

a b c (Å): 9.1020 18.1314 6.5718
angles (deg): 90.00 90.00 90.00
Space group Pnma (No. 62)
Asymmetric unit:
Sr 0.0347 0.1077 0.1210 x8
Sr 0.1749 0.2500 0.6213 x4
Li 0.1177 0.6071 0.3753 x8
Mg 0.1743 0.7500 0.6195 x4
Mg 0.1745 0.0331 0.5966 x8

- DOS at the Fermi energy (states/eV/f.u.) = 6.64
- DFT formation energy (eV/atom) = -0.01
- V (A^3/atom) = 33.9

=====

16.
Below is an optimized crystal structure of Sr2Li9Mg3, with properties calculated at the PBE-GGA level.

a b c (Å): 15.1037 9.1347 10.3034
angles (deg): 90.00 90.00 90.00
Space group Cmcm (No. 63)
Asymmetric unit:
Sr 0.1515 0.1668 0.2500 x8
Li 0.0000 0.1690 0.7500 x4
Li 0.0000 0.3457 0.0111 x8
Li 0.0954 0.4549 0.7500 x8
Li 0.1612 0.1838 0.5903 x16
Mg 0.0000 0.0000 0.0000 x4
Mg 0.1879 0.5000 0.0000 x8

- DOS at the Fermi energy (states/eV/f.u.) = 8.92
- DFT formation energy (eV/atom) = -0.01
- V (A^3/atom) = 25.4

=====

17.
Below is an optimized crystal structure of Sr6LiMg, with properties calculated at the PBE-GGA level.

a b c (Å): 5.9983 5.9983 20.5156
angles (deg): 90.00 90.00 90.00
Space group I4/mmm (No. 139)
Asymmetric unit:
Sr 0.0000 0.0000 0.2500 x4
Sr 0.0000 0.5000 0.1004 x8
Li 0.0000 0.0000 0.0000 x2
Mg 0.0000 0.0000 0.5000 x2

- DOS at the Fermi energy (states/eV/f.u.) = 9.53
- DFT formation energy (eV/atom) = 0.00
- V (A^3/atom) = 46.1

=====

18.
Below is an optimized crystal structure of SrLi10Mg3, with properties calculated at the PBE-GGA level.

a b c (Å): 14.2929 14.2929 14.2929
angles (deg): 90.00 90.00 90.00
Space group Fm-3m (No. 225)
Asymmetric unit:
Sr 0.2500 0.2500 0.2500 x8
Li 0.0000 0.1783 0.1783 x48
Li 0.1149 0.1149 0.3851 x32
Mg 0.0000 0.0000 0.2729 x24

- DOS at the Fermi energy (states/eV/f.u.) = 7.37
- DFT formation energy (eV/atom) = 0.14
- V (A^3/atom) = 26.1

=====

19.
Below is an optimized crystal structure of Sr2Li6Mg9, with properties calculated at the PBE-GGA level.

a b c (Å): 6.1205 6.1205 14.9236
angles (deg): 90.00 90.00 120.00
Space group P6/mmm (No. 191)
Asymmetric unit:
Sr 0.0000 0.0000 0.1648 x2
Li 0.3333 0.6667 0.1684 x4
Li 0.3333 0.6667 0.5000 x2
Mg 0.0000 0.5000 0.0000 x3
Mg 0.0000 0.5000 0.3310 x6

- DOS at the Fermi energy (states/eV/f.u.) = 8.43
- DFT formation energy (eV/atom) = 0.07
- V (A^3/atom) = 28.5

=====

20.
Below is an optimized crystal structure of Sr2LiMg, with properties calculated at the PBE-GGA level.

a b c (Å): 4.1906 4.1906 8.4210
angles (deg): 90.00 90.00 90.00
Space group P4/mmm (No. 123)
Asymmetric unit:
Sr 0.0000 0.0000 0.2474 x2
Li 0.5000 0.5000 0.5000 x1
Mg 0.5000 0.5000 0.0000 x1

- DOS at the Fermi energy (states/eV/f.u.) = 3.46
- DFT formation energy (eV/atom) = -0.02
- V (A^3/atom) = 37.0